[1]
# CaCrPb

A crystal of CaCrPb relaxed with PBEsol (SCAN, the Alexandria database).

Computed properties:
Energy of formation from the pure elements in meV per atom: 198

a b c (Å): 3.5199 3.5199 7.2179
angles (deg): 90.00 90.00 120.00
Space group P3m1 (No. 156)
Symmetry-distinct sites (fractional):
Ca: 0.0000 0.0000 0.0000
Cr: 0.6667 0.3333 0.6468
Pb: 0.3333 0.6667 0.3623

[2]
# Ca4CrPb

A crystal of Ca4CrPb relaxed with PBEsol (SCAN, the Alexandria database).

Computed properties:
Energy of formation from the pure elements in meV per atom: 403

a b c (Å): 9.214 9.214 9.214
angles (deg): 90.00 90.00 90.00
Space group F-43m (No. 216)
Symmetry-distinct sites (fractional):
Ca: 0.125 0.125 0.125
Cr: 0.000 0.000 0.500
Pb: 0.250 0.250 0.750

[3]
# CaCrPt3

A crystal of CaCrPt3 relaxed with PBEsol (SCAN, the Alexandria database).

Computed properties:
Energy of formation from the pure elements in meV per atom: 8

a b c (Å): 4.603 4.603 4.603
angles (deg): 90.00 90.00 90.00
Space group Pm-3m (No. 221)
Symmetry-distinct sites (fractional):
Ca: 0.000 0.000 0.000
Cr: 0.500 0.500 0.500
Pt: 0.000 0.500 0.500

[4]
# Ca4CrPt

A crystal of Ca4CrPt relaxed with PBEsol (SCAN, the Alexandria database).

Computed properties:
Energy of formation from the pure elements in meV per atom: 614

a b c (Å): 8.552 8.552 8.552
angles (deg): 90.00 90.00 90.00
Space group F-43m (No. 216)
Symmetry-distinct sites (fractional):
Ca: 0.124 0.124 0.124
Cr: 0.000 0.000 0.500
Pt: 0.250 0.250 0.750

[5]
# CaCrRe

A crystal of CaCrRe relaxed with PBEsol (SCAN, the Alexandria database).

Computed properties:
Energy of formation from the pure elements in meV per atom: 1896
ΔE to the lowest computed polymorph in meV/atom: 996

a b c (Å): 6.437 6.437 6.437
angles (deg): 90.00 90.00 90.00
Space group F-43m (No. 216)
Symmetry-distinct sites (fractional):
Ca: 0.000 0.000 0.000
Cr: 0.250 0.250 0.750
Re: 0.250 0.250 0.250

[6]
# CaCrRe

A crystal of CaCrRe relaxed with PBEsol (SCAN, the Alexandria database).

Computed properties:
Energy of formation from the pure elements in meV per atom: 900
ΔE to the lowest computed polymorph in meV/atom: 0

a b c (Å): 4.5795 4.5795 2.6347
angles (deg): 90.00 90.00 120.00
Space group P3m1 (No. 156)
Symmetry-distinct sites (fractional):
Ca: 0.0000 0.0000 0.0000
Cr: 0.3333 0.6667 0.3600
Re: 0.6667 0.3333 0.6051

[7]
# Ca2CrRh

A crystal of Ca2CrRh relaxed with PBEsol (SCAN, the Alexandria database).

Computed properties:
Energy of formation from the pure elements in meV per atom: 19

a b c (Å): 3.390 3.390 7.720
angles (deg): 90.00 90.00 90.00
Space group P4/mmm (No. 123)
Symmetry-distinct sites (fractional):
Ca: 0.000 0.000 0.213
Cr: 0.500 0.500 0.500
Rh: 0.500 0.500 0.000

[8]
# CaCrRh3

A crystal of CaCrRh3 relaxed with PBEsol (SCAN, the Alexandria database).

Computed properties:
Energy of formation from the pure elements in meV per atom: 195

a b c (Å): 4.456 4.456 4.456
angles (deg): 90.00 90.00 90.00
Space group Pm-3m (No. 221)
Symmetry-distinct sites (fractional):
Ca: 0.000 0.000 0.000
Cr: 0.500 0.500 0.500
Rh: 0.000 0.500 0.500

[9]
# CaCrRh2

A crystal of CaCrRh2 relaxed with PBEsol (SCAN, the Alexandria database).

Computed properties:
Energy of formation from the pure elements in meV per atom: -82
ΔE to the lowest computed polymorph in meV/atom: 0

a b c (Å): 4.532 4.532 3.022
angles (deg): 90.00 90.00 90.00
Space group P4/mmm (No. 123)
Symmetry-distinct sites (fractional):
Ca: 0.000 0.000 0.000
Cr: 0.500 0.500 0.000
Rh: 0.000 0.500 0.500

[10]
# CaCrRh2

A crystal of CaCrRh2 relaxed with PBEsol (SCAN, the Alexandria database).

Computed properties:
Energy of formation from the pure elements in meV per atom: 152
ΔE to the lowest computed polymorph in meV/atom: 234

a b c (Å): 3.218 3.218 6.566
angles (deg): 90.00 90.00 90.00
Space group P4mm (No. 99)
Symmetry-distinct sites (fractional):
Ca: 0.000 0.000 0.000
Cr: 0.500 0.500 0.358
Rh: 0.000 0.000 0.485
Rh: 0.500 0.500 0.732

[11]
# CaCrRh2

A crystal of CaCrRh2 relaxed with PBEsol (SCAN, the Alexandria database).

Computed properties:
Energy of formation from the pure elements in meV per atom: -61
ΔE to the lowest computed polymorph in meV/atom: 21

a b c (Å): 4.456 4.456 6.275
angles (deg): 90.00 90.00 90.00
Space group I4/mmm (No. 139)
Symmetry-distinct sites (fractional):
Ca: 0.000 0.000 0.000
Cr: 0.000 0.000 0.500
Rh: 0.000 0.500 0.250

[12]
# Ca2CrRu

A crystal of Ca2CrRu relaxed with PBEsol (SCAN, the Alexandria database).

Computed properties:
Energy of formation from the pure elements in meV per atom: 616

a b c (Å): 3.2553 3.2553 28.7739
angles (deg): 90.00 90.00 120.00
Space group R-3m (No. 166, hexagonal axes)
Symmetry-distinct sites (fractional):
Ca: 0.0000 0.0000 0.2384
Cr: 0.0000 0.0000 0.0000
Ru: 0.0000 0.0000 0.5000